Run i
Entry from the Alexandria database: a relaxed Mg2HgSb crystal (PBE-GGA).

Summary:
volume = 24.64 Å³ per atom
symmetry = No. 216

```
Mg2HgSb
1.0
0.000 3.666 3.666
3.666 0.000 3.666
3.666 3.666 0.000
Mg Hg Sb
2 1 1
Direct
0.000 0.000 0.000
0.250 0.250 0.250
0.500 0.500 0.500
0.750 0.750 0.750
```

---

Run ii
Entry from the Alexandria database: a relaxed Mg2HgSb crystal (PBE-GGA).

Summary:
volume = 24.59 Å³ per atom
symmetry = No. 160

```
Mg2HgSb
1.0
1.724 0.996 9.549
-1.724 0.996 9.549
0.000 -1.991 9.549
Mg Hg Sb
2 1 1
Direct
0.000 0.000 0.000
0.250 0.250 0.250
0.743 0.743 0.743
0.501 0.501 0.501
```

---

Relative to the most stable structure, the computed energies are run i 58; run ii 0, all in meV per atom.

---

Run i
Entry from the Alexandria database: a relaxed Mg2HgSb crystal (PBE-GGA).

Summary:
volume = 29.01 Å³ per atom
symmetry = No. 31

```
Mg2HgSb
1.0
5.053 0.000 0.000
0.000 9.859 0.000
0.000 0.000 4.658
Mg Hg Sb
4 2 2
Direct
0.000 0.022 0.000
0.000 0.659 0.999
0.500 0.341 0.499
0.500 0.978 0.500
0.000 0.470 0.498
0.500 0.530 0.998
0.000 0.837 0.500
0.500 0.163 0.000
```

---

Run ii
Entry from the Alexandria database: a relaxed Mg2HgSb crystal (PBE-GGA).

Summary:
volume = 26.40 Å³ per atom
symmetry = No. 160

```
Mg2HgSb
1.0
2.219 1.281 6.190
-2.219 1.281 6.190
0.000 -2.563 6.190
Mg Hg Sb
2 1 1
Direct
0.000 0.000 0.000
0.182 0.182 0.182
0.420 0.420 0.420
0.591 0.591 0.591
```

---

Relative to the most stable structure, the computed energies are run i 0; run ii 7, all in meV per atom.

---

Run i
Entry from the Alexandria database: a relaxed Mg2HgSb crystal (PBE-GGA).

Summary:
volume = 23.34 Å³ per atom
symmetry = No. 119

```
Mg2HgSb
1.0
-2.126 2.126 5.166
2.126 -2.126 5.166
2.126 2.126 -5.166
Mg Hg Sb
2 1 1
Direct
0.000 0.000 0.000
0.750 0.250 0.500
0.500 0.500 0.000
0.250 0.750 0.500
```

---

Run ii
Entry from the Alexandria database: a relaxed Mg2HgSb crystal (PBE-GGA).

Summary:
volume = 23.90 Å³ per atom
symmetry = No. 225

```
Mg2HgSb
1.0
0.000 3.629 3.629
3.629 0.000 3.629
3.629 3.629 0.000
Mg Hg Sb
2 1 1
Direct
0.250 0.250 0.250
0.750 0.750 0.750
0.000 0.000 0.000
0.500 0.500 0.500
```

---

Run iii
Entry from the Alexandria database: a relaxed Mg2HgSb crystal (PBE-GGA).

Summary:
volume = 24.27 Å³ per atom
symmetry = No. 12

```
Mg2HgSb
1.0
4.351 -1.710 0.000
4.351 1.710 0.000
-1.277 0.000 6.523
Mg Hg Sb
2 1 1
Direct
0.247 0.247 0.230
0.753 0.753 0.770
0.500 0.500 0.000
0.000 0.000 0.500
```

---

Relative to the most stable structure, the computed energies are run i 36; run ii 7; run iii 0, all in meV per atom.